No. 1
This record from Alexandria via LeMat-Bulk describes ScMnSn2Se5 after structural relaxation. The functional is PBE.

Cell and atoms, written as POSCAR:
```
ScMnSn2Se5
1.0
2.036 -8.097 0.000
2.036 8.097 0.000
0.000 0.000 14.424
Sc Mn Sn Se
2 2 4 10
Cartesian
2.036 7.194 7.212
2.036 -7.194 0.000
2.036 3.916 1.102
2.036 -3.916 8.315
2.036 2.635 4.612
2.036 1.175 10.234
2.036 -1.175 3.022
2.036 -2.635 11.824
2.036 8.046 12.001
2.036 6.448 1.020
2.036 4.568 6.718
2.036 4.013 10.420
2.036 1.376 1.610
2.036 -1.376 8.822
2.036 -4.013 3.207
2.036 -4.568 13.930
2.036 -6.448 8.232
2.036 -8.046 4.788
```

Computed properties:
Its total energy is -47.07 eV/f.u. As for the space group: Cmc2_1 (36).

No. 2
This record from Alexandria via LeMat-Bulk describes Sr2ScMnSe5 after structural relaxation. The functional is PBE.

Cell and atoms, written as POSCAR:
```
Sr2ScMnSe5
1.0
2.038 -9.088 0.000
2.038 9.088 0.000
0.000 0.000 12.724
Sr Sc Mn Se
4 2 2 10
Cartesian
2.038 6.836 6.362
2.038 6.841 10.958
2.038 -6.836 0.000
2.038 -6.841 4.596
2.038 5.382 2.564
2.038 -5.382 8.926
2.038 1.128 7.717
2.038 -1.128 1.356
2.038 8.246 2.662
2.038 3.678 10.719
2.038 3.465 6.990
2.038 2.761 2.307
2.038 0.039 5.603
2.038 -0.039 11.965
2.038 -2.761 8.669
2.038 -3.465 0.628
2.038 -3.678 4.357
2.038 -8.246 9.024
```

Computed properties:
Its total energy is -49.61 eV/f.u. As for the space group: Cmc2_1 (36).

No. 3
This record from Alexandria via LeMat-Bulk describes SrScMnSe4 after structural relaxation. The functional is PBE.

Cell and atoms, written as POSCAR:
```
SrScMnSe4
1.0
6.672 0.000 0.000
0.000 6.479 0.000
-2.544 0.000 8.053
Sr Sc Mn Se
2 2 2 8
Cartesian
1.438 1.620 0.432
2.691 4.859 7.621
0.201 1.620 4.505
3.928 4.859 3.548
0.789 4.859 2.637
3.340 1.620 5.416
-1.687 3.305 5.767
-1.687 6.413 5.767
2.579 4.859 1.067
1.536 4.859 4.861
2.593 1.620 3.192
1.550 1.620 6.986
5.816 0.066 2.286
5.816 3.174 2.286
```

Computed properties:
Its total energy is -39.64 eV/f.u. As for the space group: P2_1/m (11).

No. 4
This record from Alexandria via LeMat-Bulk describes ScMnTlSe2 after structural relaxation. The functional is PBE.

Cell and atoms, written as POSCAR:
```
ScMnTlSe2
1.0
5.467 0.000 0.000
0.000 5.467 0.000
0.000 0.000 4.968
Sc Mn Tl Se
1 1 1 2
Cartesian
0.000 0.000 0.000
2.733 2.733 0.000
2.733 2.733 2.484
0.000 2.733 2.484
2.733 0.000 2.484
```

Computed properties:
Its total energy is -21.73 eV/f.u. As for the space group: P4/mmm (123).

No. 5
This record from Alexandria via LeMat-Bulk describes ScMn2TlSe after structural relaxation. The functional is PBE.

Cell and atoms, written as POSCAR:
```
ScMn2TlSe
1.0
5.178 0.000 0.000
0.000 5.178 0.000
0.000 0.000 5.055
Sc Mn Tl Se
1 2 1 1
Cartesian
0.000 0.000 0.000
0.000 2.589 0.000
2.589 0.000 0.000
2.589 2.589 2.527
0.000 0.000 2.527
```

Computed properties:
Its total energy is -27.60 eV/f.u. As for the space group: P4/mmm (123).

No. 6
This record from Alexandria via LeMat-Bulk describes ScMn2WSe after structural relaxation. The functional is PBE.

Cell and atoms, written as POSCAR:
```
ScMn2WSe
1.0
4.263 0.000 0.000
0.000 4.263 0.000
0.000 0.000 4.746
Sc Mn W Se
1 2 1 1
Cartesian
0.000 0.000 0.000
0.000 2.131 2.373
2.131 0.000 2.373
2.131 2.131 0.000
0.000 0.000 2.373
```

Computed properties:
Its total energy is -36.15 eV/f.u. As for the space group: P4/mmm (123).

No. 7
This record from Alexandria via LeMat-Bulk describes Sc2MnSi after structural relaxation. The functional is PBE.

Cell and atoms, written as POSCAR:
```
Sc2MnSi
1.0
4.255 0.000 0.000
0.000 4.255 0.000
0.000 0.000 7.707
Sc Mn Si
4 2 2
Cartesian
0.000 2.128 1.927
0.000 2.128 5.781
2.128 0.000 1.927
2.128 0.000 5.781
0.000 0.000 0.000
2.128 2.128 3.854
0.000 0.000 3.854
2.128 2.128 0.000
```

Computed properties:
Its total energy is -28.37 eV/f.u. As for the space group: I4/mmm (139).

No. 8
This record from Alexandria via LeMat-Bulk describes Sc2MnSi after structural relaxation. The functional is PBE.

Cell and atoms, written as POSCAR:
```
Sc2MnSi
1.0
6.355 0.000 0.000
0.000 6.355 0.000
0.000 0.000 6.355
Sc Mn Si
8 4 4
Cartesian
0.000 0.000 0.000
0.000 3.177 3.177
1.589 1.589 1.589
1.589 4.766 4.766
3.177 0.000 3.177
3.177 3.177 0.000
4.766 1.589 4.766
4.766 4.766 1.589
1.589 1.589 4.766
1.589 4.766 1.589
4.766 1.589 1.589
4.766 4.766 4.766
0.000 0.000 3.177
0.000 3.177 0.000
3.177 0.000 0.000
3.177 3.177 3.177
```

Computed properties:
Its total energy is -28.05 eV/f.u. As for the space group: F-43m (216).

What did the eighth record say?
This record from Alexandria via LeMat-Bulk describes Sc2MnSi after structural relaxation. The functional is PBE.

Cell and atoms, written as POSCAR:
```
Sc2MnSi
1.0
6.355 0.000 0.000
0.000 6.355 0.000
0.000 0.000 6.355
Sc Mn Si
8 4 4
Cartesian
0.000 0.000 0.000
0.000 3.177 3.177
1.589 1.589 1.589
1.589 4.766 4.766
3.177 0.000 3.177
3.177 3.177 0.000
4.766 1.589 4.766
4.766 4.766 1.589
1.589 1.589 4.766
1.589 4.766 1.589
4.766 1.589 1.589
4.766 4.766 4.766
0.000 0.000 3.177
0.000 3.177 0.000
3.177 0.000 0.000
3.177 3.177 3.177
```

Computed properties:
Its total energy is -28.05 eV/f.u. As for the space group: F-43m (216).